Entry 1:
# BaPtAu

BaPtAu after structural relaxation (GGA-PBE, the Alexandria database). Values from VASP.

Cell and atoms, written as Quantum ESPRESSO input:
```
&SYSTEM
  ibrav = 0, nat = 3, ntyp = 3
/
ATOMIC_SPECIES
Ba 137.33 Ba.upf
Pt 195.08 Pt.upf
Au 196.97 Au.upf
ATOMIC_POSITIONS crystal
Ba 0.333 0.333 0.000
Pt 0.622 0.622 0.000
Au 0.046 0.046 0.000
CELL_PARAMETERS angstrom
-1.896 3.615 4.428
-5.190 -0.419 3.026
4.721 -3.212 -1.915
```

Results
Total magnetization in Bohr magnetons per cell: 0.00
Uncorrected energy in eV per cell: -12.31
Calculated formation energy in eV/atom: -0.3566
Calculated volume in Å³ per cell: 78
Space group: Imm2 (44)

Entry 2:
# ZrTiSi2Au

ZrTiSi2Au after structural relaxation (GGA-PBE, the Alexandria database). Values from VASP.

Cell and atoms, written as Quantum ESPRESSO input:
```
&SYSTEM
  ibrav = 0, nat = 5, ntyp = 4
/
ATOMIC_SPECIES
Zr 91.22 Zr.upf
Au 196.97 Au.upf
Si 28.09 Si.upf
Ti 47.87 Ti.upf
ATOMIC_POSITIONS crystal
Zr 0.000 0.500 0.000
Au 0.000 0.000 0.000
Si 0.000 0.000 0.500
Si 0.500 0.000 0.000
Ti 0.500 0.500 0.500
CELL_PARAMETERS angstrom
-2.971 -1.117 3.428
-1.156 -4.483 -2.463
3.455 -2.151 2.293
```

Results
Total magnetization in Bohr magnetons per cell: 0.00
Uncorrected formation energy in eV per atom: 0.93
Uncorrected energy in eV per cell: -25.93
Calculated volume in Å³ per cell: 114
Space group: P4/mmm (123)

Entry 3:
# UTaPb2O8

UTaPb2O8 after structural relaxation (GGA-PBE, the Alexandria database). Values from VASP.

Cell and atoms, written as Quantum ESPRESSO input:
```
&SYSTEM
  ibrav = 0, nat = 12, ntyp = 4
/
ATOMIC_SPECIES
O 16.00 O.upf
U 238.03 U.upf
Pb 207.20 Pb.upf
Ta 180.95 Ta.upf
ATOMIC_POSITIONS crystal
O 0.167 0.831 0.266
O 0.833 0.169 0.734
O 0.833 0.169 0.266
O 0.263 0.260 0.000
O 0.167 0.831 0.734
O 0.271 0.269 0.500
O 0.729 0.731 0.500
O 0.737 0.740 0.000
U 0.000 0.000 0.000
Pb 0.500 0.500 0.738
Pb 0.500 0.500 0.262
Ta 0.000 0.000 0.500
CELL_PARAMETERS angstrom
-2.771 -3.077 -3.341
4.610 -1.682 -2.037
0.156 -5.046 4.518
```

Results
Total magnetization in Bohr magnetons per cell: 0.00
Uncorrected formation energy in eV per atom: -2.18
Uncorrected energy in eV per cell: -96.43
Calculated volume in Å³ per cell: 191
Space group: P2/m (10)

Entry 4:
# PmZr2B6

PmZr2B6 after structural relaxation (GGA-PBE, the Alexandria database). Values from VASP.

Cell and atoms, written as Quantum ESPRESSO input:
```
&SYSTEM
  ibrav = 0, nat = 9, ntyp = 3
/
ATOMIC_SPECIES
Zr 91.22 Zr.upf
B 10.81 B.upf
Pm 145.00 Pm.upf
ATOMIC_POSITIONS crystal
Zr 0.000 0.667 0.333
Zr 0.000 0.333 0.667
B 0.500 0.000 0.341
B 0.500 0.341 0.000
B 0.500 0.659 0.659
B 0.500 0.000 0.659
B 0.500 0.659 0.000
B 0.500 0.341 0.341
Pm 0.000 0.000 0.000
CELL_PARAMETERS angstrom
3.716 0.000 0.000
0.000 4.865 -2.809
0.000 0.000 5.618
```

Results
Total magnetization in Bohr magnetons per cell: 0.00
Uncorrected energy in eV per cell: -68.46
Calculated formation energy in eV/atom: -0.7273
Calculated volume in Å³ per cell: 102
Space group: P6/mmm (191)

Entry 5:
# RbNaInSb

RbNaInSb after structural relaxation (GGA-PBE, the Alexandria database). Values from VASP.

Cell and atoms, written as Quantum ESPRESSO input:
```
&SYSTEM
  ibrav = 0, nat = 4, ntyp = 4
/
ATOMIC_SPECIES
Na 22.99 Na.upf
In 114.82 In.upf
Sb 121.76 Sb.upf
Rb 85.47 Rb.upf
ATOMIC_POSITIONS crystal
Na 0.340 0.340 0.981
In 0.588 0.588 0.235
Sb 0.997 0.997 0.008
Rb 0.801 0.801 0.597
CELL_PARAMETERS angstrom
-4.315 2.870 0.383
-2.873 -0.191 4.326
1.114 5.829 4.118
```

Results
Total magnetization in Bohr magnetons per cell: 0.00
Uncorrected formation energy in eV per atom: -0.27
Uncorrected energy in eV per cell: -10.24
Calculated volume in Å³ per cell: 154
Space group: R3m (160)

Entry 6:
# TmLuAlCr

TmLuAlCr after structural relaxation (GGA-PBE, the Alexandria database). Values from VASP.

Cell and atoms, written as Quantum ESPRESSO input:
```
&SYSTEM
  ibrav = 0, nat = 4, ntyp = 4
/
ATOMIC_SPECIES
Al 26.98 Al.upf
Cr 52.00 Cr.upf
Tm 168.93 Tm.upf
Lu 174.97 Lu.upf
ATOMIC_POSITIONS crystal
Al 0.500 0.500 0.500
Cr 0.000 0.000 0.000
Tm 0.250 0.250 0.250
Lu 0.750 0.750 0.750
CELL_PARAMETERS angstrom
5.005 0.000 0.000
2.502 4.334 0.000
2.502 1.445 4.087
```

Results
Total magnetization in Bohr magnetons per cell: 3.79
Uncorrected energy in eV per cell: -22.53
Calculated formation energy in eV/atom: -0.0425
Calculated volume in Å³ per cell: 89
Space group: F-43m (216)